VASP calculation (PBE) on NbPt after structural relaxation.

Lattice parameters (Å, degrees): 5.851 5.851 5.851 90.00 90.00 90.00
Space group F-43m (No. 216)
Symmetry-distinct sites (fractional):
1 Nb 0.000 0.000 0.000 [4 per cell]
2 Pt 0.250 0.250 0.750 [4 per cell]

Computed properties:
ΔE_f: 0.4998 eV/atom
density of states at the Fermi level: 2.979 states/eV/f.u.

=====

VASP calculation (PBE) on Nb2Pt after structural relaxation.

Lattice parameters (Å, degrees): 9.998 9.998 5.190 90.00 90.00 90.00
Space group P4_2/mnm (No. 136)
Symmetry-distinct sites (fractional):
1 Nb 0.038 0.374 0.000 [8 per cell]
2 Nb 0.107 0.107 0.000 [4 per cell]
3 Nb 0.179 0.821 0.247 [8 per cell]
4 Pt 0.000 0.000 0.500 [2 per cell]
5 Pt 0.067 0.264 0.500 [8 per cell]

Computed properties:
ΔE_f: -0.4867 eV/atom
density of states at the Fermi level: 3.322 states/eV/f.u.

=====

no.,calculated volume (Å³ per cell)
1,200.4
2,518.8